# 1
Computed, not measured: crystalline VFeRhCl2 at its relaxed geometry at the GGA-PBE level of DFT.

abc: 4.749 4.717 4.749
angles: 90.00 90.00 90.00
Atoms (fractional coordinates):
Cl 0.500 0.000 0.000
Cl 0.000 0.000 0.500
V 0.000 0.500 0.000
Fe 0.500 0.500 0.500
Rh 0.000 0.000 0.000


# 2
Computed, not measured: crystalline FeRh2WCl at its relaxed geometry at the GGA-PBE level of DFT.

abc: 4.749 4.672 4.749
angles: 90.00 90.00 90.00
Atoms (fractional coordinates):
W 0.000 0.000 0.000
Rh 0.000 0.000 0.500
Rh 0.500 0.000 0.000
Fe 0.000 0.500 0.000
Cl 0.500 0.500 0.500


# 3
Computed, not measured: crystalline Fe2RuCl at its relaxed geometry at the GGA-PBE level of DFT.

abc: 2.820 2.820 8.235
angles: 90.00 90.00 117.64
Atoms (fractional coordinates):
Fe 0.500 0.500 0.242
Fe 0.000 0.000 0.002
Cl 0.500 0.500 0.775
Ru 0.000 0.000 0.481

Calculated values
Energy above the lowest structure with this stoichiometry   169 meV per atom


# 4
Computed, not measured: crystalline Fe2RuCl at its relaxed geometry at the GGA-PBE level of DFT.

abc: 5.564 5.564 5.919
angles: 61.97 61.97 90.00
Atoms (fractional coordinates):
Cl 0.500 0.500 0.000
Cl 0.250 0.750 0.500
Fe 0.624 0.125 0.250
Fe 0.875 0.874 0.750
Fe 0.126 0.625 0.250
Fe 0.375 0.376 0.750
Ru 0.000 0.000 0.000
Ru 0.750 0.250 0.500

Calculated values
Energy above the lowest structure with this stoichiometry   640 meV per atom


# 5
Computed, not measured: crystalline Fe2RuCl at its relaxed geometry at the GGA-PBE level of DFT.

abc: 2.808 4.511 4.511
angles: 90.00 90.00 90.00
Atoms (fractional coordinates):
Fe 0.000 0.500 0.500
Fe 0.000 0.000 0.000
Cl 0.500 0.000 0.500
Ru 0.500 0.500 0.000

Calculated values
Energy above the lowest structure with this stoichiometry   407 meV per atom


# 6
Computed, not measured: crystalline Fe2RuCl at its relaxed geometry at the GGA-PBE level of DFT.

abc: 5.018 5.018 5.018
angles: 137.77 137.77 61.26
Atoms (fractional coordinates):
Cl 0.750 0.250 0.500
Fe 0.500 0.500 0.000
Fe 0.000 0.000 0.000
Ru 0.250 0.750 0.500

Calculated values
Energy above the lowest structure with this stoichiometry   571 meV per atom


# 7
Computed, not measured: crystalline Fe2RuCl at its relaxed geometry at the GGA-PBE level of DFT.

abc: 2.927 2.927 6.693
angles: 90.00 90.00 90.00
Atoms (fractional coordinates):
Ru 0.000 0.000 0.450
Fe 0.500 0.500 0.250
Fe 0.000 0.000 0.026
Cl 0.500 0.500 0.774

Calculated values
Energy above the lowest structure with this stoichiometry   113 meV per atom


# 8
Computed, not measured: crystalline Fe2RuCl at its relaxed geometry at the GGA-PBE level of DFT.

abc: 2.947 3.002 7.022
angles: 90.01 90.00 90.00
Atoms (fractional coordinates):
Ru 0.500 0.250 0.250
Cl 0.500 0.750 0.750
Fe 0.000 0.750 0.035
Fe 0.000 0.750 0.465

Calculated values
Energy above the lowest structure with this stoichiometry   4 meV per atom


It is found that the E values, taken in the order of the records, are -4.764 -6.254 -6.588 -6.117 -6.350 -6.186 -6.644 -6.753 eV/atom.
It is found that the N(E_F) values, taken in the order of the records, are 1.518 1.066 0.840 1.080 1.217 1.074 1.453 1.327 states/eV/atom.
It is found that the size of the total moment values, taken in the order of the records, are 3.79 2.08 6.73 5.18 6.85 6.91 5.44 7.09 Bohr magnetons per cell.